NdHg3Pb3 | Alexandria | GGA-PBE | relaxed; ΔE_f = 406 meV per atom; total magnetic moment = 0.00 μB per formula unit; DOS at the Fermi energy = 8.9 states/eV/cell; crystal system = cubic; space group = Pm-3n
1.0
-7.0308 0.6737 3.9797
-2.9023 -6.3989 -4.0441
2.8051 -4.9320 5.7906
Pb Nd Hg
6 2 6
direct
0.0000 0.2500 0.5000
0.0000 0.7500 0.5000
0.5000 0.0000 0.7500
0.7500 0.5000 0.0000
0.5000 0.0000 0.2500
0.2500 0.5000 0.0000
0.5000 0.5000 0.5000
0.0000 0.0000 0.0000
0.2500 0.0000 0.5000
0.0000 0.5000 0.2500
0.5000 0.7500 0.0000
0.7500 0.0000 0.5000
0.0000 0.5000 0.7500
0.5000 0.2500 0.0000



Nd12Hg6Pb | Alexandria | GGA-PBE | relaxed; ΔE_f = -265 meV per atom; total magnetic moment = 0.00 μB per formula unit; DOS at the Fermi energy = 23.5 states/eV/cell; crystal system = trigonal; space group = R-3
1.0
9.0744 -1.1458 -1.3727
-2.5083 8.7958 -1.3727
-2.5083 -2.9223 8.4090
Nd Hg Pb
12 6 1
direct
0.8100 0.6507 0.5216
0.5216 0.8100 0.6507
0.6507 0.5216 0.8100
0.1900 0.3493 0.4784
0.4784 0.1900 0.3493
0.3493 0.4784 0.1900
0.9135 0.8329 0.2707
0.1671 0.7293 0.0865
0.7293 0.0865 0.1671
0.0865 0.1671 0.7293
0.8329 0.2707 0.9135
0.2707 0.9135 0.8329
0.6462 0.9282 0.4112
0.5888 0.3538 0.0718
0.0718 0.5888 0.3538
0.3538 0.0718 0.5888
0.4112 0.6462 0.9282
0.9282 0.4112 0.6462
0.0000 0.0000 0.0000



Nd2Hg3Pb2 | Alexandria | GGA-PBE | relaxed; ΔE_f = -198 meV per atom; total magnetic moment = 0.00 μB per formula unit; DOS at the Fermi energy = 12.6 states/eV/cell; crystal system = cubic; space group = I2_13
1.0
8.1266 0.0000 0.0000
-2.7089 7.6618 0.0000
-2.7089 -3.8309 6.6353
Nd Hg Pb
4 6 4
direct
0.0000 0.0000 0.4777
0.5000 0.4777 0.5000
0.5223 0.0223 0.0223
0.9777 0.5000 0.0000
0.7345 0.7500 0.9845
0.7655 0.2500 0.5155
0.0155 0.2655 0.2500
0.4845 0.2345 0.7500
0.2500 0.9845 0.2345
0.7500 0.5155 0.2655
0.0000 0.0000 0.8726
0.5000 0.8726 0.5000
0.1274 0.6274 0.6274
0.3726 0.5000 0.0000



Nd2HgPb3 | Alexandria | GGA-PBE | relaxed; ΔE_f = -477 meV per atom; total magnetic moment = 0.00 μB per formula unit; E above lowest polymorph = 0 meV per atom; DOS at the Fermi energy = 3.3 states/eV/cell; crystal system = orthorhombic; space group = Cmmm
1.0
-1.7360 3.4936 -2.5089
2.9971 -1.0770 -3.5734
-4.5118 -6.6081 -1.7925
Nd Hg Pb
2 1 3
direct
0.1492 0.5000 0.2983
0.8508 0.5000 0.7017
0.0000 0.0000 0.0000
0.3248 0.0000 0.6497
0.6752 0.0000 0.3503
0.5000 0.5000 0.0000



Nd2Hg5Pb | Alexandria | GGA-PBE | relaxed; ΔE_f = -379 meV per atom; total magnetic moment = 0.00 μB per formula unit; DOS at the Fermi energy = 12.0 states/eV/cell; crystal system = orthorhombic; space group = Pbam
1.0
4.6241 0.0000 0.0000
0.0000 6.7429 0.0000
0.0000 0.0000 13.5580
Nd Hg Pb
4 10 2
direct
0.5000 0.2374 0.6226
0.5000 0.7626 0.3774
0.5000 0.2626 0.1226
0.5000 0.7374 0.8774
0.0000 0.0000 0.0000
0.0000 0.5000 0.5000
0.0000 0.4819 0.7488
0.0000 0.5181 0.2512
0.0000 0.0181 0.2488
0.0000 0.9819 0.7512
0.5000 0.2350 0.8702
0.5000 0.7650 0.1298
0.5000 0.2650 0.3702
0.5000 0.7350 0.6298
0.0000 0.0000 0.5000
0.0000 0.5000 0.0000



Nd4Hg2Pb | Alexandria | GGA-PBE | relaxed; ΔE_f = -317 meV per atom; total magnetic moment = 1.49 μB per formula unit; DOS at the Fermi energy = 9.4 states/eV/cell; crystal system = trigonal; space group = R-3m
1.0
5.1456 0.0000 1.6076
2.3217 4.5921 1.6076
-0.0749 -0.0461 9.2786
Nd Hg Pb
4 2 1
direct
0.8705 0.8705 0.3885
0.1295 0.1295 0.6115
0.6175 0.6175 0.1475
0.3825 0.3825 0.8525
0.7504 0.7504 0.7489
0.2496 0.2496 0.2511
0.0000 0.0000 0.0000



Nd3Hg2Pb | Alexandria | GGA-PBE | relaxed; ΔE_f = -487 meV per atom; total magnetic moment = 0.19 μB per formula unit; E above lowest polymorph = 4 meV per atom; DOS at the Fermi energy = 6.3 states/eV/cell; crystal system = tetragonal; space group = P4/mmm
1.0
-0.5077 -3.6664 -0.8077
2.0708 0.4063 -3.1464
10.0141 -2.7601 6.2342
Nd Hg Pb
3 2 1
direct
0.0000 0.0000 0.0000
0.0000 0.0000 0.6774
0.0000 0.0000 0.3226
0.5000 0.5000 0.8437
0.5000 0.5000 0.1563
0.5000 0.5000 0.5000



NdHgPb2 | Alexandria | GGA-PBE | relaxed; ΔE_f = -392 meV per atom; total magnetic moment = 0.00 μB per formula unit; DOS at the Fermi energy = 1.6 states/eV/cell; crystal system = tetragonal; space group = P4/mmm
1.0
4.6398 0.0000 0.0000
0.0000 4.9172 0.0000
0.0000 0.0000 4.9172
Pb Nd Hg
2 1 1
direct
0.0000 0.0000 0.5000
0.0000 0.5000 0.0000
0.5000 0.5000 0.5000
0.5000 0.0000 0.0000



Nd3HgPb2 | Alexandria | GGA-PBE | relaxed; ΔE_f = -506 meV per atom; total magnetic moment = 0.00 μB per formula unit; E above lowest polymorph = 0 meV per atom; DOS at the Fermi energy = 7.9 states/eV/cell; crystal system = orthorhombic; space group = Pmmn
1.0
4.2992 0.0000 0.0000
0.0000 5.2516 0.0000
0.0000 0.0000 15.7939
Nd Hg Pb
6 2 4
direct
0.4997 0.5000 0.6668
0.4992 0.0000 0.5000
0.4997 0.5000 0.3332
0.5003 0.0000 0.1668
0.5008 0.5000 0.0000
0.5003 0.0000 0.8332
0.9991 0.5000 0.5000
0.0009 0.0000 0.0000
0.9997 0.0000 0.6620
0.9997 0.0000 0.3380
0.0003 0.5000 0.1620
0.0003 0.5000 0.8380



NdHg6Pb2 | Alexandria | GGA-PBE | relaxed; ΔE_f = -131 meV per atom; total magnetic moment = 0.00 μB per formula unit; DOS at the Fermi energy = 4.7 states/eV/cell; crystal system = monoclinic; space group = C2/m
1.0
-2.4903 3.5105 2.2262
-4.2311 -2.6181 4.5400
3.5847 -0.8149 7.8674
Nd Hg Pb
1 6 2
direct
0.0000 0.0000 0.5000
0.1664 0.8225 0.1806
0.8336 0.4968 0.1806
0.8336 0.1775 0.8194
0.1664 0.5032 0.8194
0.3280 0.3481 0.5000
0.6720 0.6519 0.5000
0.5000 0.8346 0.8309
0.5000 0.1654 0.1691



Nd2HgPb | Alexandria | GGA-PBE | relaxed; ΔE_f = -505 meV per atom; total magnetic moment = 0.00 μB per formula unit; DOS at the Fermi energy = 4.4 states/eV/cell; crystal system = cubic; space group = Fm-3m
1.0
-0.6081 -5.4538 -0.3186
4.4024 -3.2216 -0.6747
1.7199 -3.2027 4.1231
Pb Nd Hg
1 2 1
direct
0.7500 0.7500 0.7500
0.0000 0.0000 0.0000
0.5000 0.5000 0.5000
0.2500 0.2500 0.2500



Nd6Hg5Pb | Alexandria | GGA-PBE | relaxed; ΔE_f = -485 meV per atom; total magnetic moment = 2.82 μB per formula unit; DOS at the Fermi energy = 12.0 states/eV/cell; crystal system = orthorhombic; space group = Immm
1.0
-5.1616 -1.6331 -0.5641
2.2914 -5.5647 -4.8563
2.3670 -1.5268 9.0234
Pb Nd Hg
1 6 5
direct
0.0000 0.0000 0.0000
0.8319 0.5799 0.6637
0.8318 0.0838 0.6637
0.5000 0.7464 0.0000
0.5000 0.2536 0.0000
0.1682 0.9162 0.3363
0.1681 0.4201 0.3363
0.6699 0.1699 0.3399
0.3334 0.3334 0.6668
0.0000 0.5000 0.0000
0.6666 0.6666 0.3332
0.3301 0.8301 0.6601



NdHgPb2 | Alexandria | GGA-PBE | relaxed; ΔE_f = 88 meV per atom; total magnetic moment = 0.00 μB per formula unit; DOS at the Fermi energy = 2.2 states/eV/cell; crystal system = trigonal; space group = R-3m
1.0
-2.2393 2.8158 0.1318
-1.2710 1.4334 -3.0481
-10.0281 -5.6455 -0.5995
Pb Nd Hg
2 1 1
direct
0.0946 0.0946 0.7161
0.9054 0.9054 0.2839
0.0000 0.0000 0.0000
0.5000 0.5000 0.5000



NdHgPb | Alexandria | GGA-PBE | relaxed; ΔE_f = -334 meV per atom; total magnetic moment = 0.00 μB per formula unit; DOS at the Fermi energy = 2.0 states/eV/cell; crystal system = tetragonal; space group = I4mm
1.0
-0.7784 3.3626 -1.5649
-3.3945 -0.0017 1.6849
4.4541 1.0888 4.7127
Pb Nd Hg
1 1 1
direct
0.2724 0.2724 0.5448
0.9614 0.9614 0.9228
0.6162 0.6162 0.2324



Nd6Hg4Pb7 | Alexandria | GGA-PBE | relaxed; ΔE_f = -172 meV per atom; total magnetic moment = 0.00 μB per formula unit; DOS at the Fermi energy = 20.4 states/eV/cell; crystal system = cubic; space group = Im-3m
1.0
8.3473 0.0000 -2.9512
-4.1736 7.2290 -2.9512
0.0000 0.0000 8.8536
Nd Hg Pb
6 4 7
direct
0.7026 0.0000 0.7026
0.7026 0.7026 0.0000
0.0000 0.2974 0.2974
0.2974 0.0000 0.2974
0.2974 0.2974 0.0000
0.0000 0.7026 0.7026
0.5000 0.0000 0.0000
0.5000 0.5000 0.5000
0.0000 0.5000 0.0000
0.0000 0.0000 0.5000
0.7500 0.5000 0.2500
0.2500 0.7500 0.5000
0.5000 0.7500 0.2500
0.7500 0.2500 0.5000
0.2500 0.5000 0.7500
0.5000 0.2500 0.7500
0.0000 0.0000 0.0000



NdHgPb | Alexandria | GGA-PBE | relaxed; ΔE_f = -314 meV per atom; total magnetic moment = 0.00 μB per formula unit; DOS at the Fermi energy = 2.6 states/eV/cell; crystal system = cubic; space group = F-43m
1.0
5.1030 0.0000 0.0000
2.5515 4.4194 0.0000
2.5515 1.4731 4.1666
Pb Nd Hg
1 1 1
direct
0.5000 0.5000 0.5000
0.0000 0.0000 0.0000
0.2500 0.2500 0.2500



Nd3HgPb2 | Alexandria | GGA-PBE | relaxed; ΔE_f = -456 meV per atom; total magnetic moment = 0.00 μB per formula unit; E above lowest polymorph = 50 meV per atom; DOS at the Fermi energy = 9.6 states/eV/cell; crystal system = monoclinic; space group = C2/c
1.0
6.5821 0.0000 0.0000
0.0000 6.5632 -0.1189
-3.2910 -1.7544 8.3514
Nd Hg Pb
6 2 4
direct
0.6485 0.2500 0.0000
0.3515 0.7500 0.0000
0.2781 0.1005 0.3388
0.9393 0.3995 0.6612
0.0607 0.6005 0.3388
0.7219 0.8995 0.6612
0.8672 0.7500 0.0000
0.1328 0.2500 0.0000
0.5543 0.5539 0.3189
0.7646 0.0539 0.3189
0.2354 0.9461 0.6811
0.4457 0.4461 0.6811



Nd3Hg2Pb | Alexandria | GGA-PBE | relaxed; ΔE_f = -491 meV per atom; total magnetic moment = 0.00 μB per formula unit; E above lowest polymorph = 0 meV per atom; DOS at the Fermi energy = 7.5 states/eV/cell; crystal system = orthorhombic; space group = Cmmm
1.0
3.8547 0.0000 0.0000
0.0000 5.1958 -1.7201
0.0000 0.0045 8.7212
Nd Hg Pb
3 2 1
direct
0.5000 0.5000 0.0000
0.5000 0.8311 0.6621
0.5000 0.1689 0.3379
0.0000 0.3276 0.6551
0.0000 0.6724 0.3449
0.0000 0.0000 0.0000



Nd4Hg3Pb | Alexandria | GGA-PBE | relaxed; ΔE_f = -493 meV per atom; total magnetic moment = 1.41 μB per formula unit; DOS at the Fermi energy = 16.8 states/eV/cell; crystal system = tetragonal; space group = P4/mmm
1.0
-0.9241 3.8332 3.7721
-7.6128 -0.4128 -1.4456
-1.0270 -7.7465 7.6203
Pb Nd Hg
2 8 6
direct
0.0000 0.5000 0.0000
0.0000 0.5000 0.5000
0.5000 0.7542 0.0000
0.5000 0.7542 0.5000
0.5000 0.2458 0.0000
0.5000 0.2458 0.5000
0.0006 0.7542 0.7500
0.9994 0.7542 0.2500
0.9994 0.2458 0.2500
0.0006 0.2458 0.7500
0.0000 0.0000 0.0000
0.0000 0.0000 0.5000
0.5006 0.0000 0.7500
0.4994 0.0000 0.2500
0.5008 0.5000 0.7500
0.4992 0.5000 0.2500



NdHg4Pb7 | Alexandria | GGA-PBE | relaxed; ΔE_f = 36 meV per atom; total magnetic moment = 0.00 μB per formula unit; DOS at the Fermi energy = 7.2 states/eV/cell; crystal system = monoclinic; space group = C2/m
1.0
-3.6465 -0.5375 5.2018
-6.2142 -6.9286 -1.1654
1.7182 -5.6294 4.5295
Nd Hg Pb
1 4 7
direct
0.0000 0.0000 0.0000
0.5034 0.3285 0.6648
0.4966 0.6715 0.3352
0.7369 0.6579 0.8682
0.2631 0.3421 0.1318
0.7529 0.9673 0.5269
0.2471 0.0327 0.4731
0.0127 0.6497 0.3249
0.9873 0.3503 0.6751
0.2625 0.6682 0.8068
0.5000 0.0000 0.0000
0.7375 0.3318 0.1932



NdHgPb | Alexandria | GGA-PBE | relaxed; ΔE_f = -415 meV per atom; total magnetic moment = 0.00 μB per formula unit; DOS at the Fermi energy = 1.5 states/eV/cell; crystal system = trigonal; space group = P3m1
1.0
-3.7869 0.9974 -1.0326
-1.7527 -3.5560 2.9932
0.7295 4.5889 1.7568
Pb Nd Hg
1 1 1
direct
0.0526 0.0000 0.0000
0.6412 0.3333 0.6667
0.3062 0.6667 0.3333



NdHg3Pb | Alexandria | GGA-PBE | relaxed; ΔE_f = -254 meV per atom; total magnetic moment = 0.00 μB per formula unit; E above lowest polymorph = 0 meV per atom; DOS at the Fermi energy = 5.0 states/eV/cell; crystal system = monoclinic; space group = C2/m
1.0
4.9021 0.0000 0.0000
-2.4511 8.3312 1.1694
0.0000 -1.8196 6.4039
Nd Hg Pb
2 6 2
direct
0.8755 0.7511 0.9738
0.1245 0.2489 0.0262
0.1009 0.2017 0.5100
0.8991 0.7983 0.4900
0.3123 0.6246 0.2337
0.6877 0.3754 0.7663
0.2907 0.5813 0.7067
0.7093 0.4187 0.2933
0.5041 0.0083 0.2389
0.4959 0.9917 0.7611



Nd4Hg5Pb | Alexandria | GGA-PBE | relaxed; ΔE_f = -413 meV per atom; total magnetic moment = 1.18 μB per formula unit; DOS at the Fermi energy = 8.5 states/eV/cell; crystal system = tetragonal; space group = P4/mmm
1.0
-3.7083 0.8777 -0.6431
-0.9984 -1.8364 3.2506
2.1001 15.9443 9.6525
Nd Hg Pb
4 5 1
direct
0.0000 0.0000 0.1951
0.0000 0.0000 0.3996
0.0000 0.0000 0.6004
0.0000 0.0000 0.8049
0.5000 0.5000 0.0993
0.5000 0.5000 0.3008
0.5000 0.5000 0.5000
0.5000 0.5000 0.6992
0.5000 0.5000 0.9007
0.0000 0.0000 0.0000